No. 1
Material: LiCaTeSeF
Method: DFT, GGA-PBE
State: optimized geometry

Unit cell a=4.1647 b=5.6585 c=5.8513 alpha=64.84 beta=89.70 gamma=90.08
Element x y z (fractional)
Li (0.8705, 0.7863, 0.9025)
Ca (0.3669, 0.2720, 0.2101)
Te (0.3730, 0.6678, 0.6314)
Se (0.3713, 0.1207, 0.7538)
F (0.8677, 0.4346, 0.1712)

Summary:
- Space-group type: P1 (1)
- Formation energy without anion corrections: -1.74 eV/atom
- DOS(E_F): 1.16 states/eV/f.u.

---

No. 2
Material: Ba5Sb2O
Method: DFT, GGA-PBE
State: optimized geometry

Unit cell a=5.4065 b=15.2771 c=17.3807 alpha=90.00 beta=90.00 gamma=90.00
Element x y z (fractional)
Ba (0.2500, 0.7808, 0.8779)
Ba (0.7500, 0.2192, 0.1221)
Ba (0.7500, 0.7192, 0.3779)
Ba (0.2500, 0.2808, 0.6221)
Ba (0.2500, 0.5080, 0.3603)
Ba (0.7500, 0.4920, 0.6397)
Ba (0.7500, 0.9920, 0.8603)
Ba (0.2500, 0.0080, 0.1397)
Ba (0.2500, 0.7005, 0.5331)
Ba (0.7500, 0.2995, 0.4669)
Ba (0.7500, 0.7995, 0.0331)
Ba (0.2500, 0.2005, 0.9669)
Ba (0.7500, 0.7608, 0.7275)
Ba (0.2500, 0.2392, 0.2725)
Ba (0.2500, 0.7392, 0.2275)
Ba (0.7500, 0.2608, 0.7725)
Ba (0.2500, 0.9837, 0.6071)
Ba (0.7500, 0.0163, 0.3929)
Ba (0.7500, 0.5163, 0.1071)
Ba (0.2500, 0.4837, 0.8929)
Sb (0.2500, 0.6457, 0.0406)
Sb (0.7500, 0.3543, 0.9594)
Sb (0.7500, 0.8543, 0.5406)
Sb (0.2500, 0.1457, 0.4594)
Sb (0.2500, 0.1146, 0.7741)
Sb (0.7500, 0.8854, 0.2259)
Sb (0.7500, 0.3854, 0.2741)
Sb (0.2500, 0.6146, 0.7259)
O (0.7500, 0.8239, 0.8725)
O (0.2500, 0.1761, 0.1275)
O (0.2500, 0.6761, 0.3725)
O (0.7500, 0.3239, 0.6275)

Summary:
- Space-group type: Pnma (62)
- Formation energy without anion corrections: -1.21 eV/atom
- DOS(E_F): 4.08 states/eV/f.u.

---

No. 3
Material: BaPdS
Method: DFT, GGA-PBE
State: optimized geometry

Unit cell a=4.5449 b=5.3385 c=7.4129 alpha=90.02 beta=72.14 gamma=90.02
Element x y z (fractional)
S (0.4889, 0.3437, 0.1984)
S (0.7695, 0.8433, 0.6380)
Ba (0.2691, 0.3464, 0.6384)
Ba (0.9890, 0.8465, 0.1980)
Pd (0.6286, 0.5946, 0.9191)
Pd (0.6295, 0.0945, 0.9173)

Summary:
- Space-group type: Cmc2_1 (36)
- Formation energy without anion corrections: -1.23 eV/atom
- DOS(E_F): 0.12 states/eV/f.u.

---

No. 4
Material: Bi2SbAu
Method: DFT, GGA-PBE
State: optimized geometry

Unit cell a=4.4261 b=4.4261 c=7.4833 alpha=72.80 beta=72.80 gamma=60.00
Element x y z (fractional)
Bi (0.0701, 0.0701, 0.7897)
Bi (0.2609, 0.2609, 0.2172)
Sb (0.5012, 0.5012, 0.4963)
Au (0.6677, 0.6677, 0.9968)

Summary:
- Space-group type: R3m (160)
- Formation energy without anion corrections: 0.05 eV/atom
- DOS(E_F): 1.73 states/eV/f.u.

---

No. 5
Material: Li2Cu2Cl5
Method: DFT, GGA-PBE
State: optimized geometry

Unit cell a=3.6529 b=6.4949 c=9.8138 alpha=107.89 beta=100.72 gamma=90.00
Element x y z (fractional)
Li (0.8891, 0.0736, 0.7783)
Li (0.1109, 0.9264, 0.2217)
Cu (0.6104, 0.3472, 0.2208)
Cu (0.3896, 0.6528, 0.7792)
Cl (0.6764, 0.1209, 0.3528)
Cl (0.3236, 0.8791, 0.6472)
Cl (0.8963, 0.4554, 0.7926)
Cl (0.1037, 0.5446, 0.2074)
Cl (0.0000, 0.0000, 0.0000)

Summary:
- Space-group type: C2/m (12)
- Formation energy without anion corrections: -1.01 eV/atom
- DOS(E_F): 5.96 states/eV/f.u.

---

No. 6
Material: Mn2C
Method: DFT, GGA-PBE
State: optimized geometry

Unit cell a=4.5806 b=4.5806 c=5.5155 alpha=57.84 beta=57.84 gamma=33.45
Element x y z (fractional)
Mn (0.8517, 0.8517, 0.5530)
Mn (0.6026, 0.6026, 0.0936)
Mn (0.3974, 0.3974, 0.9064)
Mn (0.1483, 0.1483, 0.4470)
C (0.1567, 0.1567, 0.7903)
C (0.8433, 0.8433, 0.2097)

Summary:
- E_form: 0.106 eV per atom
- Space-group type: C2/m (12)
- DOS(E_F): 2.47 states/eV/f.u.

---

No. 7
Material: U5Cr
Method: DFT, GGA-PBE
State: optimized geometry

Unit cell a=3.7758 b=3.8284 c=8.0332 alpha=103.79 beta=90.00 gamma=90.00
Element x y z (fractional)
Cr (0.0000, 0.0000, 0.0000)
U (0.5000, 0.8290, 0.6580)
U (0.0000, 0.6570, 0.3141)
U (0.5000, 0.5000, 0.0000)
U (0.0000, 0.3430, 0.6859)
U (0.5000, 0.1710, 0.3420)

Summary:
- E_form: 0.244 eV per atom
- Space-group type: Cmmm (65)
- DOS(E_F): 15.11 states/eV/f.u.

---

No. 8
Material: Np3Tl4PbSe8
Method: DFT, GGA-PBE
State: optimized geometry

Unit cell a=8.5824 b=9.1312 c=8.5816 alpha=118.04 beta=120.00 gamma=90.00
Element x y z (fractional)
Np (0.5000, 0.5000, 0.0000)
Np (0.5000, 0.5000, 0.5000)
Np (0.0000, 0.5000, 0.5000)
Tl (0.5000, 0.0000, 0.0000)
Tl (0.5000, 0.0000, 0.5000)
Tl (0.0000, 0.0000, 0.0000)
Tl (0.0000, 0.0000, 0.5000)
Pb (0.0000, 0.5000, 0.0000)
Se (0.2446, 0.7066, 0.9623)
Se (0.2446, 0.7066, 0.4891)
Se (0.2661, 0.2985, 0.5322)
Se (0.7176, 0.7066, 0.9623)
Se (0.2824, 0.2934, 0.0377)
Se (0.7339, 0.7015, 0.4678)
Se (0.7554, 0.2934, 0.5109)
Se (0.7554, 0.2934, 0.0377)

Summary:
- Space-group type: R-3m (166)
- Formation energy without anion corrections: -0.82 eV/atom
- DOS(E_F): 27.81 states/eV/f.u.

---

No. 9
Material: LiTmHfAl
Method: DFT, GGA-PBE
State: optimized geometry

Unit cell a=4.8777 b=4.8777 c=4.8777 alpha=60.00 beta=60.00 gamma=60.00
Element x y z (fractional)
Tm (0.5000, 0.5000, 0.5000)
Hf (0.0000, 0.0000, 0.0000)
Al (0.7500, 0.7500, 0.7500)
Li (0.2500, 0.2500, 0.2500)

Summary:
- E_form: -0.085 eV per atom
- Space-group type: F-43m (216)
- DOS(E_F): 2.13 states/eV/f.u.

---

No. 10
Material: Pd2IO2
Method: DFT, GGA-PBE
State: optimized geometry

Unit cell a=4.1520 b=4.1520 c=6.3489 alpha=70.91 beta=70.91 gamma=90.00
Element x y z (fractional)
I (0.0000, 0.0000, 0.0000)
O (0.2858, 0.2858, 0.4284)
O (0.7142, 0.7142, 0.5716)
Pd (0.7500, 0.2500, 0.5000)
Pd (0.2500, 0.7500, 0.5000)

Summary:
- Space-group type: I4/mmm (139)
- Formation energy without anion corrections: 0.16 eV/atom
- DOS(E_F): 3.93 states/eV/f.u.

---

No. 11
Material: CeMgTlCu
Method: DFT, GGA-PBE
State: optimized geometry

Unit cell a=5.0642 b=5.0642 c=5.0642 alpha=60.00 beta=60.00 gamma=60.00
Element x y z (fractional)
Mg (0.5000, 0.5000, 0.5000)
Tl (0.7500, 0.7500, 0.7500)
Cu (0.2500, 0.2500, 0.2500)
Ce (0.0000, 0.0000, 0.0000)

Summary:
- E_form: -0.133 eV per atom
- Space-group type: F-43m (216)
- DOS(E_F): 6.21 states/eV/f.u.

---

No. 12
Material: ErTm2NpP4
Method: DFT, GGA-PBE
State: optimized geometry

Unit cell a=3.9469 b=6.8409 c=6.8376 alpha=109.34 beta=90.00 gamma=90.00
Element x y z (fractional)
Er (0.5000, 0.5000, 0.0000)
Tm (0.5000, 0.0000, 0.5000)
Tm (0.0000, 0.5000, 0.5000)
Np (0.0000, 0.0000, 0.0000)
P (0.5000, 0.2484, 0.2492)
P (0.5000, 0.7516, 0.7508)
P (0.0000, 0.2475, 0.7508)
P (0.0000, 0.7525, 0.2492)

Summary:
- E_form: -1.415 eV per atom
- Space-group type: P2/m (10)
- DOS(E_F): 9.74 states/eV/f.u.

---

No. 13
Material: Tm3PuAl8
Method: DFT, GGA-PBE
State: optimized geometry

Unit cell a=5.5256 b=5.5256 c=9.0042 alpha=90.00 beta=90.00 gamma=120.00
Element x y z (fractional)
Tm (0.6667, 0.3333, 0.4372)
Tm (0.6667, 0.3333, 0.0654)
Tm (0.0000, 0.0000, 0.9255)
Pu (0.0000, 0.0000, 0.5680)
Al (0.3333, 0.6667, 0.5006)
Al (0.3333, 0.6667, 0.0029)
Al (0.5046, 0.0092, 0.7516)
Al (0.5046, 0.4954, 0.7516)
Al (0.9908, 0.4954, 0.7516)
Al (0.1619, 0.3239, 0.2485)
Al (0.1619, 0.8381, 0.2485)
Al (0.6762, 0.8381, 0.2485)

Summary:
- E_form: -0.437 eV per atom
- Space-group type: P3m1 (156)
- DOS(E_F): 17.02 states/eV/f.u.

---

No. 14
Material: Zr2ScBr
Method: DFT, GGA-PBE
State: optimized geometry

Unit cell a=4.1110 b=4.1110 c=11.4632 alpha=79.67 beta=79.67 gamma=90.00
Element x y z (fractional)
Sc (0.5000, 0.5000, 0.0000)
Sc (0.2500, 0.7500, 0.5000)
Br (0.0000, 0.0000, 0.0000)
Br (0.7500, 0.2500, 0.5000)
Zr (0.6261, 0.1250, 0.2500)
Zr (0.1239, 0.6250, 0.2500)
Zr (0.3750, 0.3739, 0.7500)
Zr (0.8750, 0.8761, 0.7500)

Summary:
- Space-group type: I-42d (122)
- Formation energy without anion corrections: 0.16 eV/atom
- DOS(E_F): 5.89 states/eV/f.u.

---

No. 15
Material: TbZn4Ni6
Method: DFT, GGA-PBE
State: optimized geometry

Unit cell a=6.2643 b=6.2643 c=6.2643 alpha=85.24 beta=122.79 gamma=122.79
Element x y z (fractional)
Tb (0.0000, 0.0000, 0.0000)
Zn (0.0000, 0.0967, 0.5075)
Zn (0.5892, 0.4925, 0.4925)
Zn (0.0000, 0.5075, 0.0967)
Zn (0.4108, 0.9033, 0.9033)
Ni (0.0000, 0.7380, 0.4176)
Ni (0.0000, 0.4176, 0.7380)
Ni (0.6796, 0.2620, 0.2620)
Ni (0.5000, 0.0000, 0.5000)
Ni (0.3204, 0.5824, 0.5824)
Ni (0.5000, 0.5000, 0.0000)

Summary:
- E_form: -0.051 eV per atom
- Space-group type: I-42m (121)
- DOS(E_F): 9.94 states/eV/f.u.

---

No. 16
Material: BaMn2Cr
Method: DFT, GGA-PBE
State: optimized geometry

Unit cell a=5.5840 b=5.5840 c=5.5840 alpha=132.78 beta=132.78 gamma=69.01
Element x y z (fractional)
Ba (0.2500, 0.7500, 0.5000)
Cr (0.7500, 0.2500, 0.5000)
Mn (0.0000, 0.0000, 0.0000)
Mn (0.5000, 0.5000, 0.0000)

Summary:
- E_form: 1.154 eV per atom
- Space-group type: I4/mmm (139)
- DOS(E_F): 5.66 states/eV/f.u.

---

No. 17
Material: ScAl
Method: DFT, GGA-PBE
State: optimized geometry

Unit cell a=4.9322 b=4.9322 c=4.9322 alpha=38.44 beta=38.44 gamma=38.44
Element x y z (fractional)
Sc (0.5000, 0.5000, 0.5000)
Al (0.0000, 0.0000, 0.0000)

Summary:
- E_form: -0.232 eV per atom
- Space-group type: R-3m (166)
- DOS(E_F): 1.38 states/eV/f.u.

---

No. 18
Material: BeCrNi
Method: DFT, GGA-PBE
State: optimized geometry

Unit cell a=5.7514 b=3.9073 c=2.8887 alpha=90.00 beta=90.00 gamma=70.16
Element x y z (fractional)
Be (0.2311, 0.7087, 0.4311)
Be (0.8663, 0.3916, 0.4311)
Ni (0.5358, 0.5570, 0.9310)
Ni (0.1977, 0.2258, 0.9310)
Cr (0.8781, 0.8856, 0.9311)
Cr (0.5734, 0.0380, 0.4311)

Summary:
- E_form: -0.122 eV per atom
- Space-group type: Amm2 (38)
- DOS(E_F): 0.59 states/eV/f.u.

---

No. 19
Material: TmBe2Ir
Method: DFT, GGA-PBE
State: optimized geometry

Unit cell a=3.8615 b=3.8615 c=5.2200 alpha=68.29 beta=68.29 gamma=60.00
Element x y z (fractional)
Be (0.8014, 0.8014, 0.5957)
Be (0.1986, 0.1986, 0.4043)
Ir (0.5000, 0.5000, 0.5000)
Tm (0.0000, 0.0000, 0.0000)

Summary:
- E_form: -0.534 eV per atom
- Space-group type: R-3m (166)
- DOS(E_F): 2.82 states/eV/f.u.

---

No. 20
Material: HoTlCd4
Method: DFT, GGA-PBE
State: optimized geometry

Unit cell a=5.9663 b=5.9663 c=5.9663 alpha=60.00 beta=60.00 gamma=60.00
Element x y z (fractional)
Tl (0.0000, 0.0000, 0.0000)
Ho (0.2500, 0.2500, 0.2500)
Cd (0.6246, 0.6246, 0.1263)
Cd (0.6246, 0.1263, 0.6246)
Cd (0.6246, 0.6246, 0.6246)
Cd (0.1263, 0.6246, 0.6246)

Summary:
- E_form: -0.078 eV per atom
- Space-group type: F-43m (216)
- DOS(E_F): 3.41 states/eV/f.u.

---

No. 21
Material: LiTb2V
Method: DFT, GGA-PBE
State: optimized geometry

Unit cell a=3.5864 b=3.5864 c=7.7402 alpha=90.00 beta=90.00 gamma=90.00
Element x y z (fractional)
Li (0.5000, 0.5000, 0.5000)
Tb (0.0000, 0.0000, 0.7783)
Tb (0.0000, 0.0000, 0.2217)
V (0.5000, 0.5000, 0.0000)

Summary:
- E_form: 0.214 eV per atom
- Space-group type: P4/mmm (123)
- DOS(E_F): 3.49 states/eV/f.u.

---

No. 22
Material: LiSiN
Method: DFT, GGA-PBE
State: optimized geometry

Unit cell a=2.8432 b=4.5184 c=5.6131 alpha=89.74 beta=75.85 gamma=89.93
Element x y z (fractional)
Li (0.5553, 0.1879, 0.5163)
Li (0.1781, 0.7072, 0.2801)
Si (0.4662, 0.6938, 0.7174)
Si (0.8149, 0.1950, 0.0301)
N (0.9430, 0.9373, 0.7643)
N (0.3442, 0.4307, 0.9684)

Summary:
- Space-group type: P1 (1)
- Formation energy without anion corrections: -0.60 eV/atom

---

No. 23
Material: Ac2SeIN
Method: DFT, GGA-PBE
State: optimized geometry

Unit cell a=4.2986 b=10.0717 c=8.6130 alpha=64.46 beta=75.55 gamma=77.68
Element x y z (fractional)
Ac (0.3883, 0.8301, 0.3932)
Ac (0.6117, 0.1699, 0.6068)
Ac (0.8920, 0.1754, 0.0406)
Ac (0.1080, 0.8246, 0.9594)
Se (0.7403, 0.8311, 0.6884)
Se (0.2597, 0.1689, 0.3116)
I (0.3926, 0.4472, 0.7675)
I (0.6074, 0.5528, 0.2325)
N (0.0556, 0.0973, 0.7914)
N (0.9444, 0.9027, 0.2086)

Summary:
- Space-group type: C2/m (12)
- Formation energy without anion corrections: -1.66 eV/atom

---

No. 24
Material: FePOs2
Method: DFT, GGA-PBE
State: optimized geometry

Unit cell a=4.6215 b=4.6215 c=4.4216 alpha=91.09 beta=91.09 gamma=35.57
Element x y z (fractional)
Fe (0.2703, 0.2703, 0.2848)
Os (0.9927, 0.9927, 0.0103)
Os (0.7172, 0.7172, 0.7824)
P (0.5198, 0.5198, 0.4225)

Summary:
- E_form: 0.159 eV per atom
- Space-group type: Cm (8)
- DOS(E_F): 3.30 states/eV/f.u.

---

No. 25
Material: SrZn2Sb
Method: DFT, GGA-PBE
State: optimized geometry

Unit cell a=3.5712 b=3.8917 c=7.1426 alpha=90.00 beta=90.00 gamma=90.00
Element x y z (fractional)
Sb (0.0000, 0.0000, 0.4497)
Sr (0.5000, 0.5000, 0.7619)
Zn (0.0000, 0.0000, 0.0605)
Zn (0.5000, 0.5000, 0.2279)

Summary:
- Space-group type: Pmm2 (25)
- Formation energy without anion corrections: -0.20 eV/atom
- DOS(E_F): 1.18 states/eV/f.u.

---

| no. | total moment (Bohr magnetons per cell) |
| --- | --- |
| 1 | 0.00 |
| 2 | 5.14 |
| 3 | 0.00 |
| 4 | 0.00 |
| 5 | 1.04 |
| 6 | 0.00 |
| 7 | 0.00 |
| 8 | 11.00 |
| 9 | 0.00 |
| 10 | 1.08 |
| 11 | 0.65 |
| 12 | 3.61 |
| 13 | 5.82 |
| 14 | 0.00 |
| 15 | 0.00 |
| 16 | 12.07 |
| 17 | 0.00 |
| 18 | 0.00 |
| 19 | 0.00 |
| 20 | 0.00 |
| 21 | 2.42 |
| 22 | 0.00 |
| 23 | 0.00 |
| 24 | 1.80 |
| 25 | 0.00 |